# 1
## TlAgPb4 (GGA-PBE)

Data for a geometry-optimized TlAgPb4 structure.

The calculation puts the electronic total energy at -18.6 eV per cell. The formation energy comes out at 237 meV/atom.

a = 6.4817 Å, b = 6.4817 Å, c = 6.4817 Å
α = 60.00°, β = 60.00°, γ = 60.00°
Element x y z (fractional)
Ag 0.0000 0.0000 0.0000
Pb 0.3748 0.3748 0.3748
Pb 0.3748 0.8756 0.3748
Pb 0.3748 0.3748 0.8756
Pb 0.8756 0.3748 0.3748
Tl 0.7500 0.7500 0.7500

***

# 2
## Li3BN2 (GGA-PBE)

Data for a geometry-optimized Li3BN2 structure.

As for the formation energy without anion corrections: -0.839 eV per atom. The calculation puts the electronic total energy at -136.4 eV per cell.

a = 6.9896 Å, b = 6.9896 Å, c = 6.9896 Å
α = 123.37°, β = 123.37°, γ = 84.25°
Element x y z (fractional)
B 0.8530 0.8530 0.0000
B 0.8970 0.3970 0.5000
B 0.6030 0.1030 0.5000
B 0.1470 0.1470 0.0000
N 0.5984 0.3014 0.7031
N 0.1516 0.9486 0.7969
N 0.1516 0.3547 0.2031
N 0.1047 0.4016 0.7031
N 0.0514 0.8484 0.2031
N 0.6453 0.8484 0.7969
N 0.5984 0.8953 0.2969
N 0.6986 0.4016 0.2969
Li 0.2241 0.2241 0.4482
Li 0.7759 0.7759 0.5518
Li 0.3739 0.3739 0.0000
Li 0.9741 0.4741 0.9482
Li 0.5259 0.4741 0.5000
Li 0.2241 0.7759 0.0000
Li 0.3761 0.8761 0.5000
Li 0.6261 0.6261 0.0000
Li 0.7759 0.2241 0.0000
Li 0.9741 0.0259 0.5000
Li 0.5259 0.0259 0.0518
Li 0.1239 0.6239 0.5000

***

# 3
## CaEu2P (GGA-PBE)

Data for a geometry-optimized CaEu2P structure.

The calculation puts the electronic total energy at -30.2 eV per cell. The formation energy comes out at -561 meV/atom.

a = 3.7367 Å, b = 3.7367 Å, c = 9.4248 Å
α = 90.00°, β = 90.00°, γ = 90.00°
Element x y z (fractional)
Eu 0.0000 0.0000 0.8346
Eu 0.0000 0.0000 0.1654
P 0.5000 0.5000 0.0000
Ca 0.5000 0.5000 0.5000

***

# 4
## GeS2I (GGA-PBE)

Data for a geometry-optimized GeS2I structure.

As for the formation energy without anion corrections: -0.208 eV per atom. The calculation puts the electronic total energy at -61.0 eV per cell.

a = 5.8082 Å, b = 5.8793 Å, c = 20.8937 Å
α = 91.12°, β = 90.00°, γ = 92.99°
Element x y z (fractional)
Ge 0.0000 0.2500 0.5000
Ge 0.0000 0.7500 0.5000
Ge 0.5000 0.2500 0.0000
Ge 0.5000 0.7500 0.0000
S 0.2971 0.9937 0.0584
S 0.2035 0.0064 0.4418
S 0.7965 0.9936 0.5582
S 0.7037 0.5145 0.0583
S 0.7958 0.4855 0.4419
S 0.7029 0.0063 0.9416
S 0.2042 0.5145 0.5581
S 0.2963 0.4855 0.9417
I 0.9592 0.9970 0.2450
I 0.9595 0.4988 0.7551
I 0.0408 0.0031 0.7550
I 0.0405 0.5012 0.2449

***

# 5
## NaHoSi2O6 (GGA-PBE)

Data for a geometry-optimized NaHoSi2O6 structure.

As for the formation energy without anion corrections: -2.915 eV per atom. The calculation puts the electronic total energy at -151.3 eV per cell.

a = 7.0340 Å, b = 7.0340 Å, c = 5.4665 Å
α = 102.39°, β = 102.39°, γ = 86.36°
Element x y z (fractional)
O 0.3731 0.9053 0.6814
O 0.6269 0.0947 0.3186
O 0.0947 0.6269 0.8186
O 0.9053 0.3731 0.1814
O 0.2984 0.4553 0.3404
O 0.5447 0.7016 0.1596
O 0.4553 0.2984 0.8404
O 0.8524 0.8397 0.5321
O 0.7016 0.5447 0.6596
O 0.8397 0.8524 0.0321
O 0.1603 0.1476 0.9679
O 0.1476 0.1603 0.4679
Si 0.2930 0.1265 0.7423
Si 0.8735 0.7070 0.7577
Si 0.7070 0.8735 0.2577
Si 0.1265 0.2930 0.2423
Ho 0.6132 0.3868 0.2500
Ho 0.3868 0.6132 0.7500
Na 0.8114 0.1886 0.7500
Na 0.1886 0.8114 0.2500

***

# 6
## RhIBr2 (GGA-PBE)

Data for a geometry-optimized RhIBr2 structure.

As for the formation energy without anion corrections: 0.329 eV per atom. The calculation puts the electronic total energy at -10.9 eV per cell.

a = 13.1248 Å, b = 13.1248 Å, c = 13.1248 Å
α = 14.26°, β = 14.26°, γ = 14.26°
Element x y z (fractional)
Rh 0.0000 0.0000 0.0000
Br 0.9398 0.9398 0.9398
Br 0.0602 0.0602 0.0602
I 0.5000 0.5000 0.5000

***

- Look up the electronic total energy of the first one.
  -18.6 eV per cell

***

- Which value of electronic total energy does entry 1 give?
  -18.6 eV per cell

***

- What is the electronic total energy in the fifth record?
  -151.3 eV per cell

***

- Which formula does entry 2 have?
  Li3BN2